1.
PBE Sr5Re2N6, optimized geometry; uncorrected formation energy = -8.5 eV/f.u.; crystal system = monoclinic
1.0
5.256 -3.535 0.000
5.256 3.535 0.000
-2.856 0.000 12.994
Sr Re N
10 4 12
Cartesian
3.114 2.729 9.746
4.611 1.848 0.046
2.776 0.663 3.705
4.473 1.848 6.451
1.348 -0.663 10.202
6.308 0.663 2.792
3.183 -1.848 6.543
4.880 -0.663 9.289
3.045 -1.848 12.948
4.542 -2.729 3.249
1.230 0.730 7.271
2.658 -0.730 0.774
4.997 0.730 12.220
6.425 -0.730 5.723
-0.302 0.367 8.343
0.973 0.290 5.471
1.126 -0.367 1.846
-0.455 -0.290 11.968
2.908 0.358 8.080
4.336 -0.358 1.583
3.320 0.358 11.411
4.748 -0.358 4.914
8.110 0.290 1.026
6.530 0.367 11.148
6.682 -0.290 7.523
7.958 -0.367 4.651

---

2.
PBE Gd2TePb, optimized geometry; energy relative to the lowest polymorph listed for this composition = 0 meV/atom; uncorrected formation energy = -3.9 eV/f.u.; crystal system = trigonal
1.0
2.227 1.286 7.299
-2.227 1.286 7.299
0.000 -2.571 7.299
Gd Te Pb
2 1 1
Cartesian
0.000 0.000 5.423
0.000 0.000 16.473
0.000 0.000 0.000
0.000 0.000 10.948

---

3.
PBE K4FeCu, optimized geometry; formation enthalpy at 0 K = 1.008 eV/atom; crystal system = cubic
1.0
0.000 5.176 5.176
5.176 0.000 5.176
5.176 5.176 0.000
K Fe Cu
4 1 1
Cartesian
1.290 1.290 1.290
3.886 3.886 1.290
3.886 1.290 3.886
1.290 3.886 3.886
5.176 5.176 5.176
7.764 7.764 7.764

---

4.
PBE Na2GeI6, optimized geometry; uncorrected formation energy = -4.7 eV/f.u.; crystal system = tetragonal
1.0
7.348 0.000 0.000
0.000 7.348 0.000
0.000 0.000 13.465
Na Ge I
4 2 12
Cartesian
0.000 0.000 2.197
0.000 0.000 11.269
3.674 3.674 4.536
3.674 3.674 8.929
0.000 0.000 6.733
3.674 3.674 0.000
1.362 1.362 4.708
1.362 1.362 8.758
1.674 1.674 0.000
2.000 5.348 6.733
2.312 5.037 2.025
2.312 5.037 11.440
5.037 2.312 2.025
5.037 2.312 11.440
5.348 2.000 6.733
5.675 5.675 0.000
5.986 5.986 4.708
5.986 5.986 8.758

---

5.
PBE Sr2CuMo, optimized geometry; energy relative to the lowest polymorph listed for this composition = 343 meV/atom; formation enthalpy at 0 K = 0.956 eV/atom; crystal system = cubic
1.0
0.000 3.734 3.734
3.734 0.000 3.734
3.734 3.734 0.000
Sr Cu Mo
2 1 1
Cartesian
0.000 0.000 0.000
1.867 1.867 1.867
3.734 3.734 3.734
5.601 5.601 5.601

---

6.
PBE BaCaI3, optimized geometry; energy relative to the lowest polymorph listed for this composition = 217 meV/atom; uncorrected formation energy = -5.2 eV/f.u.; crystal system = cubic
1.0
6.701 0.000 0.000
0.000 6.701 0.000
0.000 0.000 6.701
Ba Ca I
1 1 3
Cartesian
0.000 0.000 0.000
3.350 3.350 3.350
0.000 0.000 3.350
0.000 3.350 0.000
3.350 0.000 0.000

---

7.
PBE Dy3P4Rh7, optimized geometry; formation enthalpy at 0 K = -1.084 eV/atom; crystal system = monoclinic
1.0
7.484 -1.974 0.000
7.484 1.974 0.000
-5.194 0.000 7.550
Dy P Rh
3 4 7
Cartesian
0.000 0.000 0.000
3.204 0.000 2.508
6.568 0.000 5.042
-2.663 0.000 6.244
1.215 0.000 5.480
8.557 0.000 2.070
12.436 0.000 1.307
-2.597 0.000 3.775
0.338 0.000 3.173
-0.441 0.000 7.196
3.596 0.000 5.515
6.177 0.000 2.035
10.213 0.000 0.354
9.434 0.000 4.377

---

8.
PBE ScTi3Se, optimized geometry; energy relative to the lowest polymorph listed for this composition = 0 meV/atom; uncorrected formation energy = -0.4 eV/f.u.; crystal system = cubic
1.0
4.722 0.000 0.000
0.000 4.722 0.000
0.000 0.000 4.722
Sc Ti Se
1 3 1
Cartesian
0.000 0.000 0.000
0.000 2.361 2.361
2.361 0.000 2.361
2.361 2.361 0.000
2.361 2.361 2.361

---

9.
PBE K3Nd2PtO6, optimized geometry; uncorrected formation energy = -22.9 eV/f.u.; crystal system = monoclinic
1.0
3.032 -5.288 0.000
3.032 5.288 0.000
-1.941 0.000 6.275
K Nd Pt O
3 2 1 6
Cartesian
0.000 0.000 0.000
3.032 1.672 0.000
3.032 -1.672 0.000
2.062 3.492 3.137
2.062 -3.492 3.137
2.062 0.000 3.137
1.045 1.749 1.863
0.246 0.000 4.247
1.045 -1.749 1.863
3.079 1.749 4.411
3.878 0.000 2.027
3.079 -1.749 4.411

---

10.
PBE CeTaIr, optimized geometry; formation enthalpy at 0 K = -0.313 eV/atom; crystal system = hexagonal
1.0
6.843 0.000 0.000
-3.422 5.926 0.000
0.000 0.000 4.769
Ce Ta Ir
3 3 3
Cartesian
-1.419 2.458 0.000
2.838 0.000 0.000
2.003 3.469 0.000
-2.601 4.505 2.384
0.821 1.421 2.384
5.202 0.000 2.384
0.000 0.000 0.000
0.000 3.951 2.384
3.422 1.975 2.384

---

11.
PBE MgTeO2, optimized geometry; energy relative to the lowest polymorph listed for this composition = 1159 meV/atom; uncorrected formation energy = -1.8 eV/f.u.; crystal system = cubic
1.0
0.000 2.997 2.997
2.997 0.000 2.997
2.997 2.997 0.000
Mg Te O
1 1 2
Cartesian
0.000 0.000 0.000
2.997 2.997 2.997
1.498 1.498 1.498
4.495 4.495 4.495

---

12.
PBE LiTa2Pb, optimized geometry; formation enthalpy at 0 K = 0.288 eV/atom; crystal system = tetragonal
1.0
-1.991 1.991 4.662
1.991 -1.991 4.662
1.991 1.991 -4.662
Li Ta Pb
1 2 1
Cartesian
0.000 0.000 0.000
1.991 0.000 2.331
0.000 1.991 2.331
0.000 0.000 4.662

---

13.
PBE Sm2HoPb, optimized geometry; energy relative to the lowest polymorph listed for this composition = 168 meV/atom; formation enthalpy at 0 K = -0.134 eV/atom; crystal system = cubic
1.0
0.000 3.920 3.920
3.920 0.000 3.920
3.920 3.920 0.000
Sm Ho Pb
2 1 1
Cartesian
1.960 1.960 1.960
5.879 5.879 5.879
0.000 0.000 0.000
3.920 3.920 3.920

---

14.
PBE Be4VCr, optimized geometry; formation enthalpy at 0 K = -0.246 eV/atom; crystal system = cubic
1.0
0.000 3.025 3.025
3.025 0.000 3.025
3.025 3.025 0.000
Be V Cr
4 1 1
Cartesian
2.272 2.272 2.272
3.778 3.778 2.272
3.778 2.272 3.778
2.272 3.778 3.778
0.000 0.000 0.000
4.537 4.537 4.537

---

15.
PBE ReSb2Te, optimized geometry; uncorrected formation energy = 2.0 eV/f.u.; crystal system = orthorhombic
1.0
1.727 -2.585 0.000
1.727 2.585 0.000
0.000 0.000 10.983
Re Sb Te
1 2 1
Cartesian
0.000 0.000 0.000
1.727 0.000 2.140
1.727 0.000 8.842
0.000 0.000 5.491

---

16.
PBE BeGa2O4, optimized geometry; energy relative to the lowest polymorph listed for this composition = 0 meV/atom; uncorrected formation energy = -14.8 eV/f.u.; crystal system = trigonal
1.0
7.840 0.000 0.000
-3.920 6.790 0.000
0.000 0.000 9.024
Be Ga O
6 12 24
Cartesian
-1.713 3.799 0.000
1.717 0.756 7.443
1.486 3.406 6.016
0.227 6.374 3.008
3.717 4.925 1.427
6.327 1.109 4.435
-1.687 3.947 2.878
-1.585 3.823 6.010
1.628 0.526 1.449
1.637 0.726 4.567
1.345 3.355 8.894
1.401 3.505 3.002
0.184 6.251 9.018
0.342 6.278 5.886
3.561 5.117 4.457
3.731 5.009 7.575
6.393 1.054 1.559
6.571 1.147 7.465
-2.492 4.474 4.503
0.207 0.040 7.474
-0.169 4.439 9.004
2.527 0.191 6.105
2.565 0.183 3.022
1.291 2.394 1.495
2.492 0.365 8.849
0.160 4.423 5.996
0.009 4.717 2.988
1.446 2.399 7.324
1.545 2.581 4.597
4.833 0.047 1.590
5.040 0.053 4.316
1.201 6.711 7.510
2.796 4.477 6.030
2.822 4.506 0.090
2.990 4.449 2.833
6.278 1.975 5.841
6.411 2.093 3.097
6.399 2.130 0.015
3.852 6.591 1.458
5.274 4.338 1.308
5.383 4.161 7.605
7.702 0.159 4.466

---

17.
PBE LaZn9Ir2, optimized geometry; energy relative to the lowest polymorph listed for this composition = 0 meV/atom; formation enthalpy at 0 K = -0.307 eV/atom; crystal system = tetragonal
1.0
-5.311 5.311 3.497
5.311 -5.311 3.497
5.311 5.311 -3.497
La Zn Ir
2 18 4
Cartesian
5.311 2.656 0.874
0.000 2.656 2.623
5.311 -2.656 2.623
4.013 -0.453 1.285
6.610 -0.453 1.285
2.202 1.357 0.463
8.421 1.357 0.463
4.013 4.858 -1.285
1.299 -0.453 2.212
2.202 3.954 0.463
3.109 -1.357 3.960
2.202 6.669 -0.463
3.109 1.357 3.034
4.013 5.765 1.285
1.299 0.453 4.782
-3.109 3.954 3.034
3.109 3.954 3.034
-1.299 5.765 2.212
1.299 5.765 2.212
0.000 7.967 0.874
0.000 0.000 0.000
2.656 2.656 -1.748
2.656 -2.656 1.748
0.000 5.311 0.000

---

18.
PBE MgSnP2S, optimized geometry; energy relative to the lowest polymorph listed for this composition = 0 meV/atom; uncorrected formation energy = 2.7 eV/f.u.; crystal system = tetragonal
1.0
4.806 0.000 0.000
0.000 4.806 0.000
0.000 0.000 4.937
Mg Sn P S
1 1 2 1
Cartesian
0.000 0.000 0.000
2.403 2.403 2.468
0.000 2.403 0.000
2.403 0.000 0.000
0.000 0.000 2.468

---

no.,energy (Ry/atom)
1,-0.519
2,-0.715
3,-0.134
4,-0.174
5,-0.266
6,-0.203
7,-0.536
8,-0.498
9,-0.438
10,-0.676
11,-0.303
12,-0.518
13,-0.336
14,-0.430
15,-0.400
16,-0.466
17,-0.232
18,-0.263